1.
Below is Y2Re2Au after structural relaxation, with properties calculated at the GGA-PBE level.

Properties
The total energy comes out at -7.639 eV per atom. As for the total magnetic moment: 0.00 μB/atom. For the energy above the lowest structure with this stoichiometry, the calculation gives 0.582 eV/atom. The space group is I4/mmm (139).

Cell: 5.563 5.563 5.509 Å, 59.67 59.67 90.00°
Fractional coordinates of all 5 atoms:
Y (0.750, 0.250, 0.500)
Y (0.250, 0.750, 0.500)
Re (0.348, 0.348, 0.305)
Re (0.652, 0.652, 0.695)
Au (0.000, 0.000, 0.000)

=====

2.
Below is YRe4Au after structural relaxation, with properties calculated at the GGA-PBE level.

Properties
The total energy comes out at -9.740 eV per atom. As for the total magnetic moment: 0.00 μB/atom. The space group is F-43m (216).

Cell: 5.321 5.321 5.321 Å, 60.00 60.00 60.00°
Fractional coordinates of all 6 atoms:
Y (0.750, 0.750, 0.750)
Re (0.879, 0.374, 0.374)
Re (0.374, 0.374, 0.879)
Re (0.374, 0.879, 0.374)
Re (0.374, 0.374, 0.374)
Au (0.000, 0.000, 0.000)

=====

3.
Below is Y3ReAu after structural relaxation, with properties calculated at the GGA-PBE level.

Properties
The total energy comes out at -6.779 eV per atom. As for the total magnetic moment: 0.00 μB/atom. For the energy above the lowest structure with this stoichiometry, the calculation gives 0.000 eV/atom. The space group is Pm-3m (221).

Cell: 5.339 5.339 5.339 Å, 90.00 90.00 90.00°
Fractional coordinates of all 5 atoms:
Y (0.000, 0.500, 0.000)
Y (0.000, 0.000, 0.500)
Y (0.500, 0.000, 0.000)
Re (0.000, 0.000, 0.000)
Au (0.500, 0.500, 0.500)

=====

4.
Below is YRe3Au after structural relaxation, with properties calculated at the GGA-PBE level.

Properties
The total energy comes out at -7.189 eV per atom. As for the total magnetic moment: 0.01 μB/atom. For the energy above the lowest structure with this stoichiometry, the calculation gives 0.000 eV/atom. The space group is Pm-3m (221).

Cell: 4.861 4.861 4.861 Å, 90.00 90.00 90.00°
Fractional coordinates of all 5 atoms:
Y (0.500, 0.500, 0.500)
Re (0.000, 0.500, 0.000)
Re (0.000, 0.000, 0.500)
Re (0.500, 0.000, 0.000)
Au (0.000, 0.000, 0.000)

=====

5.
Below is YRe2Au after structural relaxation, with properties calculated at the GGA-PBE level.

Properties
The total energy comes out at -8.366 eV per atom. As for the total magnetic moment: 0.00 μB/atom. For the energy above the lowest structure with this stoichiometry, the calculation gives 0.229 eV/atom. The space group is Pmmm (47).

Cell: 3.350 4.497 6.578 Å, 46.86 90.00 90.00°
Fractional coordinates of all 4 atoms:
Au (0.000, 0.000, 0.500)
Re (0.000, 0.000, 0.000)
Re (0.500, 0.500, 0.000)
Y (0.500, 0.500, 0.500)

=====

6.
Below is YRe2Au after structural relaxation, with properties calculated at the GGA-PBE level.

Properties
The total energy comes out at -7.930 eV per atom. As for the total magnetic moment: 0.00 μB/atom. For the energy above the lowest structure with this stoichiometry, the calculation gives 0.664 eV/atom. The space group is R-3m (166).

Cell: 10.154 10.154 10.154 Å, 16.27 16.27 16.27°
Fractional coordinates of all 4 atoms:
Au (0.750, 0.750, 0.750)
Re (0.006, 0.006, 0.006)
Re (0.494, 0.494, 0.494)
Y (0.250, 0.250, 0.250)

=====

7.
Below is YRe2Au after structural relaxation, with properties calculated at the GGA-PBE level.

Properties
The total energy comes out at -8.022 eV per atom. As for the total magnetic moment: 0.00 μB/atom. For the energy above the lowest structure with this stoichiometry, the calculation gives 0.572 eV/atom. The space group is Cmmm (65).

Cell: 2.806 2.806 9.394 Å, 90.00 90.00 104.89°
Fractional coordinates of all 4 atoms:
Au (0.500, 0.500, 0.750)
Re (0.000, 0.000, 0.988)
Re (0.000, 0.000, 0.512)
Y (0.500, 0.500, 0.250)

=====

8.
Below is YRe3Au after structural relaxation, with properties calculated at the GGA-PBE level.

Properties
The total energy comes out at -6.277 eV per atom. As for the total magnetic moment: 0.00 μB/atom. For the energy above the lowest structure with this stoichiometry, the calculation gives 0.912 eV/atom. The space group is Pm-3m (221).

Cell: 4.792 4.792 4.792 Å, 90.00 90.00 90.00°
Fractional coordinates of all 5 atoms:
Y (0.000, 0.000, 0.000)
Re (0.000, 0.500, 0.000)
Re (0.000, 0.000, 0.500)
Re (0.500, 0.000, 0.000)
Au (0.500, 0.500, 0.500)